Density functional theory data (PBE-GGA) for Fe2HgSb after structural relaxation.

Geometry as POSCAR:
```
Fe2HgSb
1.0
4.6081 0.0000 0.0000
0.0000 4.6081 0.0000
0.0000 0.0000 3.1340
Fe Hg Sb
2 1 1
Direct
0.0000 0.5000 0.0000
0.5000 0.0000 0.0000
0.0000 0.0000 0.5000
0.5000 0.5000 0.5000
```

## Properties
- symmetry = No. 123
- N(E_F) (states/eV/f.u.) = 4.27
- uncorrected formation energy (kJ/mol of formula units) = 178